#w
First-principles (PBE) data for a relaxed LiMg6Hg crystal, as listed in Alexandria via LeMat-Bulk.

a = 6.359 Å, b = 10.961 Å, c = 6.262 Å
α = 90.00°, β = 120.31°, γ = 90.00°
Space group C2/m (No. 12)
Symmetry-distinct sites (fractional):
Li 0.000 0.000 0.000 (multiplicity 2)
Mg 0.248 0.283 0.754 (multiplicity 8)
Mg 0.249 0.000 0.751 (multiplicity 4)
Hg 0.000 0.500 0.500 (multiplicity 2)

V	23.5	A^3/atom

***

#x
First-principles (PBE) data for a relaxed LiMg6Hg crystal, as listed in Alexandria via LeMat-Bulk.

a = 4.742 Å, b = 8.139 Å, c = 9.113 Å
α = 90.00°, β = 90.00°, γ = 90.00°
Space group Amm2 (No. 38)
Symmetry-distinct sites (fractional):
Li 0.000 0.000 0.000 (multiplicity 2)
Mg 0.000 0.216 0.274 (multiplicity 4)
Mg 0.500 0.000 0.202 (multiplicity 2)
Mg 0.500 0.000 0.795 (multiplicity 2)
Mg 0.500 0.202 0.506 (multiplicity 4)
Hg 0.000 0.000 0.571 (multiplicity 2)

V	22.0	A^3/atom

***

Most stable pick: #x. Distance to second place: 128 meV/atom.

***

#w
First-principles (PBE) data for a relaxed Li7MgHg4 crystal, as listed in Alexandria via LeMat-Bulk.

a = 4.989 Å, b = 5.855 Å, c = 7.922 Å
α = 102.08°, β = 94.70°, γ = 102.36°
Space group P-1 (No. 2)
Symmetry-distinct sites (fractional):
Li 0.000 0.000 0.000 (multiplicity 1)
Li 0.007 0.170 0.663 (multiplicity 2)
Li 0.478 0.749 0.503 (multiplicity 2)
Li 0.494 0.610 0.832 (multiplicity 2)
Mg 0.000 0.500 0.000 (multiplicity 1)
Hg 0.029 0.324 0.333 (multiplicity 2)
Hg 0.498 0.889 0.174 (multiplicity 2)

V	18.3	A^3/atom

***

#x
First-principles (PBE) data for a relaxed Li7MgHg4 crystal, as listed in Alexandria via LeMat-Bulk.

a = 13.431 Å, b = 5.004 Å, c = 8.296 Å
α = 90.00°, β = 121.72°, γ = 90.00°
Space group C2/m (No. 12)
Symmetry-distinct sites (fractional):
Li 0.000 0.000 0.000 (multiplicity 2)
Li 0.076 0.500 0.419 (multiplicity 4)
Li 0.202 0.500 0.882 (multiplicity 4)
Li 0.243 0.000 0.697 (multiplicity 4)
Mg 0.000 0.500 0.000 (multiplicity 2)
Hg 0.061 0.000 0.736 (multiplicity 4)
Hg 0.187 0.000 0.331 (multiplicity 4)

V	19.8	A^3/atom

***

Most stable pick: #w. Distance to second place: 109 meV/atom.